Record 1
Below is an optimized crystal structure of Be2HgC2, with properties calculated at the GGA-PBE level.

Output
ΔE to the lowest computed polymorph   0.069 eV per atom
E_form   1.104 eV/atom
E   -4.14 eV per atom

a b c (Å): 6.451 6.451 2.915
angles (deg): 90.00 90.00 90.00
Fractional coordinates of all 10 atoms:
Be 0.116 0.384 0.000
Be 0.384 0.884 0.000
Be 0.884 0.616 0.000
Be 0.616 0.116 0.000
C 0.577 0.923 0.500
C 0.077 0.577 0.500
C 0.923 0.423 0.500
C 0.423 0.077 0.500
Hg 0.500 0.500 0.000
Hg 0.000 0.000 0.000

Record 2
Below is an optimized crystal structure of BeHgC3, with properties calculated at the GGA-PBE level.

Output
ΔE to the lowest computed polymorph   0.000 eV per atom
E_form   2.528 eV/atom
E   -3.81 eV per atom

a b c (Å): 3.783 3.783 3.783
angles (deg): 90.00 90.00 90.00
Fractional coordinates of all 5 atoms:
Hg 0.500 0.500 0.500
C 0.000 0.500 0.000
C 0.500 0.000 0.000
C 0.000 0.000 0.500
Be 0.000 0.000 0.000

Record 3
Below is an optimized crystal structure of BeHgC, with properties calculated at the GGA-PBE level.

Output
E_form   0.367 eV/atom
E   -4.05 eV per atom

a b c (Å): 9.226 4.443 2.967
angles (deg): 109.57 90.11 66.22
Fractional coordinates of all 6 atoms:
Be 0.565 0.554 0.595
Be 0.458 0.108 0.872
Hg 0.139 0.488 0.049
Hg 0.863 0.283 0.463
C 0.474 0.818 0.226
C 0.472 0.496 0.065

Record 4
Below is an optimized crystal structure of BeHgC2N, with properties calculated at the GGA-PBE level.

Output
Energy relative to the elements, uncorrected   11.4 eV per formula unit
E   -3.89 eV per atom

a b c (Å): 3.699 3.858 3.699
angles (deg): 90.00 90.00 90.00
Fractional coordinates of all 5 atoms:
C 0.500 0.000 0.000
C 0.000 0.000 0.500
Hg 0.500 0.500 0.500
N 0.000 0.500 0.000
Be 0.000 0.000 0.000

Record 5
Below is an optimized crystal structure of BeHg2OsC, with properties calculated at the GGA-PBE level.

Output
E_form   1.283 eV/atom
E   -3.67 eV per atom

a b c (Å): 5.344 3.826 5.344
angles (deg): 90.00 90.00 90.00
Fractional coordinates of all 5 atoms:
C 0.000 0.500 0.000
Hg 0.500 0.000 0.000
Hg 0.000 0.000 0.500
Be 0.500 0.500 0.500
Os 0.000 0.000 0.000

Record 6
Below is an optimized crystal structure of Be2ReHgC, with properties calculated at the GGA-PBE level.

Output
E_form   2.481 eV/atom
E   -3.40 eV per atom

a b c (Å): 4.273 5.168 4.273
angles (deg): 90.00 90.00 90.00
Fractional coordinates of all 5 atoms:
Hg 0.000 0.500 0.000
C 0.500 0.500 0.500
Be 0.000 0.000 0.500
Be 0.500 0.000 0.000
Re 0.000 0.000 0.000

Record 7
Below is an optimized crystal structure of BeHgC2S, with properties calculated at the GGA-PBE level.

Output
Energy relative to the elements, uncorrected   8.9 eV per formula unit
E   -3.53 eV per atom

a b c (Å): 3.513 8.243 3.513
angles (deg): 90.00 90.00 90.00
Fractional coordinates of all 5 atoms:
C 0.500 0.000 0.000
C 0.000 0.000 0.500
S 0.500 0.500 0.500
Be 0.000 0.000 0.000
Hg 0.000 0.500 0.000

Record 8
Below is an optimized crystal structure of Sc2BeHgC, with properties calculated at the GGA-PBE level.

Output
E_form   -0.356 eV/atom
E   -5.54 eV per atom

a b c (Å): 4.706 4.706 3.544
angles (deg): 90.00 90.00 90.00
Fractional coordinates of all 5 atoms:
Sc 0.000 0.500 0.000
Sc 0.500 0.000 0.000
C 0.000 0.000 0.000
Hg 0.500 0.500 0.500
Be 0.000 0.000 0.500

Record 9
Below is an optimized crystal structure of TiBeHg2C, with properties calculated at the GGA-PBE level.

Output
E_form   0.797 eV/atom
E   -3.49 eV per atom

a b c (Å): 5.046 3.283 5.046
angles (deg): 90.00 90.00 90.00
Fractional coordinates of all 5 atoms:
C 0.000 0.500 0.000
Hg 0.000 0.000 0.500
Hg 0.500 0.000 0.000
Be 0.000 0.000 0.000
Ti 0.500 0.500 0.500

Record 10
Below is an optimized crystal structure of YBeHgC2, with properties calculated at the GGA-PBE level.

Output
E_form   1.557 eV/atom
E   -4.23 eV per atom

a b c (Å): 3.949 4.920 3.949
angles (deg): 90.00 90.00 90.00
Fractional coordinates of all 5 atoms:
C 0.000 0.000 0.500
C 0.500 0.000 0.000
Be 0.000 0.000 0.000
Hg 0.500 0.500 0.500
Y 0.000 0.500 0.000

Record 11
Below is an optimized crystal structure of Zr2BeHgC, with properties calculated at the GGA-PBE level.

Output
E_form   -0.288 eV/atom
E   -6.36 eV per atom

a b c (Å): 4.738 4.738 3.572
angles (deg): 90.00 90.00 90.00
Fractional coordinates of all 5 atoms:
Zr 0.000 0.500 0.000
Zr 0.500 0.000 0.000
Hg 0.500 0.500 0.500
Be 0.000 0.000 0.500
C 0.000 0.000 0.000

Record 12
Below is an optimized crystal structure of Ho3BeC2, with properties calculated at the GGA-PBE level.

Output
E_form   0.042 eV/atom
E   -5.94 eV per atom

a b c (Å): 6.566 6.566 6.566
angles (deg): 98.28 112.76 117.98
Fractional coordinates of all 12 atoms:
Ho 0.000 0.797 0.297
Ho 0.039 0.750 0.789
Ho 0.500 0.297 0.297
Ho 0.000 0.203 0.703
Ho 0.500 0.703 0.703
Ho 0.961 0.250 0.211
C 0.000 0.500 0.000
C 0.686 0.750 0.436
C 0.314 0.250 0.564
C 0.500 0.000 0.000
Be 0.434 0.750 0.184
Be 0.566 0.250 0.816